(1)
Here is crystalline AlAgAu at its relaxed geometry from Alexandria. Energies are from PBE-GGA.

Output
Symmetry: F-43m (216)
E_tot: -3.409 eV/atom
DFT formation energy: -11 kJ per mole of atoms
Polymorph energy (0 for the lowest one): 103 meV per atom
N(E_F): 2.93 states/eV/f.u.

Unit cell a=4.330 b=4.330 c=4.330 alpha=60.00 beta=60.00 gamma=60.00
Fractional coordinates of all 3 atoms:
1 Al 0.000 0.000 0.000
2 Ag 0.750 0.750 0.750
3 Au 0.250 0.250 0.250



(2)
Here is crystalline AlAg2Au at its relaxed geometry from Alexandria. Energies are from PBE-GGA.

Output
Symmetry: P2/m (10)
E_tot: -3.268 eV/atom
DFT formation energy: -8 kJ per mole of atoms
N(E_F): 0.97 states/eV/f.u.

Unit cell a=2.913 b=4.588 c=5.276 alpha=90.00 beta=100.79 gamma=90.00
Fractional coordinates of all 4 atoms:
1 Al 0.000 0.000 0.000
2 Ag 0.190 0.500 0.763
3 Ag 0.810 0.500 0.237
4 Au 0.500 0.000 0.500



(3)
Here is crystalline Al3AgAu at its relaxed geometry from Alexandria. Energies are from PBE-GGA.

Output
Symmetry: Pm-3m (221)
E_tot: -3.153 eV/atom
DFT formation energy: 31 kJ per mole of atoms
Polymorph energy (0 for the lowest one): 0 meV per atom
N(E_F): 3.80 states/eV/f.u.

Unit cell a=4.876 b=4.876 c=4.876 alpha=90.00 beta=90.00 gamma=90.00
Fractional coordinates of all 5 atoms:
1 Al 0.000 0.000 0.500
2 Al 0.000 0.500 0.000
3 Al 0.500 0.000 0.000
4 Ag 0.500 0.500 0.500
5 Au 0.000 0.000 0.000



(4)
Here is crystalline AlAgAu at its relaxed geometry from Alexandria. Energies are from PBE-GGA.

Output
Symmetry: I4mm (107)
E_tot: -3.499 eV/atom
DFT formation energy: -20 kJ per mole of atoms
Polymorph energy (0 for the lowest one): 13 meV per atom
N(E_F): 0.50 states/eV/f.u.

Unit cell a=5.072 b=5.072 c=5.072 alpha=141.20 beta=141.20 gamma=56.04
Fractional coordinates of all 3 atoms:
1 Al 0.000 0.000 0.000
2 Ag 0.667 0.667 0.000
3 Au 0.353 0.353 0.000



(5)
Here is crystalline Al2Ag2Au5 at its relaxed geometry from Alexandria. Energies are from PBE-GGA.

Output
Symmetry: P-1 (2)
E_tot: -3.493 eV/atom
DFT formation energy: -20 kJ per mole of atoms
Polymorph energy (0 for the lowest one): 0 meV per atom
N(E_F): 2.08 states/eV/f.u.

Unit cell a=4.398 b=5.493 c=7.369 alpha=109.18 beta=107.03 gamma=90.11
Fractional coordinates of all 9 atoms:
1 Al 0.119 0.446 0.234
2 Al 0.881 0.554 0.766
3 Ag 0.287 0.200 0.575
4 Ag 0.713 0.800 0.425
5 Au 0.078 0.883 0.154
6 Au 0.340 0.748 0.682
7 Au 0.500 0.500 0.000
8 Au 0.660 0.252 0.318
9 Au 0.922 0.117 0.846



(6)
Here is crystalline AlAg2Au at its relaxed geometry from Alexandria. Energies are from PBE-GGA.

Output
Symmetry: P4/nmm (129)
E_tot: -3.335 eV/atom
DFT formation energy: -15 kJ per mole of atoms
N(E_F): 1.19 states/eV/f.u.

Unit cell a=4.339 b=4.339 c=7.303 alpha=90.00 beta=90.00 gamma=90.00
Fractional coordinates of all 8 atoms:
1 Al 0.250 0.750 0.000
2 Al 0.750 0.250 0.000
3 Ag 0.250 0.250 0.241
4 Ag 0.250 0.750 0.500
5 Ag 0.750 0.250 0.500
6 Ag 0.750 0.750 0.759
7 Au 0.250 0.250 0.789
8 Au 0.750 0.750 0.211



(7)
Here is crystalline AlAgAu at its relaxed geometry from Alexandria. Energies are from PBE-GGA.

Output
Symmetry: P3m1 (156)
E_tot: -3.405 eV/atom
DFT formation energy: -11 kJ per mole of atoms
Polymorph energy (0 for the lowest one): 107 meV per atom
N(E_F): 1.59 states/eV/f.u.

Unit cell a=3.013 b=3.013 c=6.616 alpha=90.00 beta=90.00 gamma=120.00
Fractional coordinates of all 3 atoms:
1 Al 0.000 0.000 0.000
2 Ag 0.333 0.667 0.676
3 Au 0.667 0.333 0.309



(8)
Here is crystalline AlAgAu at its relaxed geometry from Alexandria. Energies are from PBE-GGA.

Output
Symmetry: C2/m (12)
E_tot: -3.512 eV/atom
DFT formation energy: -21 kJ per mole of atoms
Polymorph energy (0 for the lowest one): 0 meV per atom
N(E_F): 0.39 states/eV/f.u.

Unit cell a=5.921 b=5.921 c=4.323 alpha=90.09 beta=90.09 gamma=42.62
Fractional coordinates of all 6 atoms:
1 Al 0.249 0.249 0.251
2 Al 0.751 0.751 0.749
3 Ag 0.083 0.083 0.750
4 Ag 0.917 0.917 0.250
5 Au 0.389 0.389 0.751
6 Au 0.611 0.611 0.249



(9)
Here is crystalline AlAgAu2 at its relaxed geometry from Alexandria. Energies are from PBE-GGA.

Output
Symmetry: Immm (71)
E_tot: -3.259 eV/atom
DFT formation energy: 3 kJ per mole of atoms
Polymorph energy (0 for the lowest one): 266 meV per atom
N(E_F): 1.44 states/eV/f.u.

Unit cell a=6.197 b=6.197 c=6.197 alpha=153.12 beta=134.85 gamma=53.33
Fractional coordinates of all 4 atoms:
1 Al 0.000 0.000 0.000
2 Ag 0.500 0.500 0.000
3 Au 0.234 0.234 0.000
4 Au 0.766 0.766 0.000



(10)
Here is crystalline AlAgAu2 at its relaxed geometry from Alexandria. Energies are from PBE-GGA.

Output
Symmetry: C2/m (12)
E_tot: -3.465 eV/atom
DFT formation energy: -17 kJ per mole of atoms
Polymorph energy (0 for the lowest one): 60 meV per atom
N(E_F): 0.52 states/eV/f.u.

Unit cell a=5.111 b=5.111 c=4.887 alpha=108.26 beta=108.26 gamma=35.29
Fractional coordinates of all 4 atoms:
1 Al 0.000 0.000 0.000
2 Ag 0.500 0.500 0.500
3 Au 0.275 0.275 0.769
4 Au 0.725 0.725 0.231



(11)
Here is crystalline AlAgAu2 at its relaxed geometry from Alexandria. Energies are from PBE-GGA.

Output
Symmetry: I4/mmm (139)
E_tot: -3.480 eV/atom
DFT formation energy: -19 kJ per mole of atoms
Polymorph energy (0 for the lowest one): 45 meV per atom
N(E_F): 0.51 states/eV/f.u.

Unit cell a=4.722 b=4.722 c=4.722 alpha=124.51 beta=124.51 gamma=82.36
Fractional coordinates of all 4 atoms:
1 Al 0.000 0.000 0.000
2 Ag 0.500 0.500 0.000
3 Au 0.250 0.750 0.500
4 Au 0.750 0.250 0.500



(12)
Here is crystalline Al2Ag3Au8 at its relaxed geometry from Alexandria. Energies are from PBE-GGA.

Output
Symmetry: R-3m (166)
E_tot: -3.264 eV/atom
DFT formation energy: -1 kJ per mole of atoms
Polymorph energy (0 for the lowest one): 121 meV per atom
N(E_F): 4.96 states/eV/f.u.

Unit cell a=10.202 b=10.202 c=10.202 alpha=31.29 beta=31.29 gamma=31.29
Fractional coordinates of all 13 atoms:
1 Al 0.135 0.135 0.135
2 Al 0.865 0.865 0.865
3 Ag 0.315 0.315 0.315
4 Ag 0.500 0.500 0.500
5 Ag 0.685 0.685 0.685
6 Au 0.217 0.217 0.217
7 Au 0.233 0.233 0.729
8 Au 0.233 0.729 0.233
9 Au 0.271 0.767 0.767
10 Au 0.729 0.233 0.233
11 Au 0.767 0.271 0.767
12 Au 0.767 0.767 0.271
13 Au 0.783 0.783 0.783



(13)
Here is crystalline AlAg7Au3 at its relaxed geometry from Alexandria. Energies are from PBE-GGA.

Output
Symmetry: P3m1 (156)
E_tot: -3.062 eV/atom
DFT formation energy: -1 kJ per mole of atoms
N(E_F): 2.87 states/eV/f.u.

Unit cell a=5.796 b=5.796 c=7.063 alpha=90.00 beta=90.00 gamma=120.00
Fractional coordinates of all 11 atoms:
1 Al 0.000 0.000 0.000
2 Ag 0.332 0.166 0.648
3 Ag 0.333 0.667 0.640
4 Ag 0.502 0.003 0.979
5 Ag 0.502 0.498 0.979
6 Ag 0.834 0.166 0.648
7 Ag 0.834 0.668 0.648
8 Ag 0.997 0.498 0.979
9 Au 0.166 0.332 0.308
10 Au 0.166 0.834 0.308
11 Au 0.668 0.834 0.308